VASP calculation (PBE) on crystalline La2MnCr at its relaxed geometry.

abc: 3.256 3.256 8.960
angles: 90.00 90.00 90.00
Fractional positions:
La1 0.000 0.000 0.000
La2 0.500 0.500 0.367
Mn1 0.000 0.000 0.625
Cr1 0.500 0.500 0.736

Properties
Calculated total energy = -6.85 eV per atom

VASP calculation (PBE) on crystalline LaMnCr3 at its relaxed geometry.

abc: 4.522 4.522 4.522
angles: 90.00 90.00 90.00
Fractional positions:
La1 0.000 0.000 0.000
Mn1 0.500 0.500 0.500
Cr1 0.000 0.500 0.500
Cr2 0.500 0.000 0.500
Cr3 0.500 0.500 0.000

Properties
Calculated total energy = -7.95 eV per atom

VASP calculation (PBE) on crystalline La2MnCr at its relaxed geometry.

abc: 7.463 7.463 6.072
angles: 90.00 90.00 90.00
Fractional positions:
La1 0.231 0.250 0.125
La2 0.250 0.731 0.375
La3 0.250 0.769 0.875
La4 0.269 0.250 0.625
La5 0.731 0.750 0.625
La6 0.750 0.231 0.875
La7 0.750 0.269 0.375
La8 0.769 0.750 0.125
Mn1 0.000 0.000 0.000
Mn2 0.000 0.500 0.250
Mn3 0.500 0.000 0.750
Mn4 0.500 0.500 0.500
Cr1 0.000 0.000 0.500
Cr2 0.000 0.500 0.750
Cr3 0.500 0.000 0.250
Cr4 0.500 0.500 0.000

Properties
Calculated total energy = -6.07 eV per atom

VASP calculation (PBE) on crystalline La2MnCr at its relaxed geometry.

abc: 7.381 7.411 3.714
angles: 90.00 90.28 90.00
Fractional positions:
La1 0.250 0.250 0.000
La2 0.250 0.750 0.000
La3 0.750 0.250 0.000
La4 0.750 0.750 0.000
Mn1 0.000 0.000 0.500
Mn2 0.500 0.500 0.500
Cr1 0.000 0.500 0.500
Cr2 0.500 0.000 0.500

Properties
Calculated total energy = -6.78 eV per atom

VASP calculation (PBE) on crystalline La2MnCr2 at its relaxed geometry.

abc: 8.736 8.736 3.308
angles: 90.00 90.00 90.00
Fractional positions:
La1 0.164 0.336 0.000
La2 0.336 0.836 0.000
La3 0.664 0.164 0.000
La4 0.836 0.664 0.000
Mn1 0.000 0.000 0.000
Mn2 0.500 0.500 0.000
Cr1 0.131 0.631 0.500
Cr2 0.369 0.131 0.500
Cr3 0.631 0.869 0.500
Cr4 0.869 0.369 0.500

Properties
Calculated total energy = -6.75 eV per atom

VASP calculation (PBE) on crystalline LaMn2Cr at its relaxed geometry.

abc: 3.078 3.078 7.499
angles: 90.00 90.00 90.00
Fractional positions:
La1 0.000 0.000 0.000
Mn1 0.000 0.000 0.500
Mn2 0.500 0.500 0.688
Cr1 0.500 0.500 0.326

Properties
Calculated total energy = -7.88 eV per atom

VASP calculation (PBE) on crystalline LaMnCr2 at its relaxed geometry.

abc: 3.996 3.996 16.510
angles: 90.00 90.00 120.00
Fractional positions:
La1 0.000 0.000 0.000
La2 0.333 0.667 0.667
La3 0.667 0.333 0.333
Mn1 0.000 0.000 0.802
Mn2 0.333 0.667 0.469
Mn3 0.667 0.333 0.135
Cr1 0.000 0.000 0.197
Cr2 0.000 0.000 0.497
Cr3 0.333 0.667 0.163
Cr4 0.333 0.667 0.864
Cr5 0.667 0.333 0.531
Cr6 0.667 0.333 0.830

Properties
Calculated total energy = -7.96 eV per atom

VASP calculation (PBE) on crystalline LaMnCr2 at its relaxed geometry.

abc: 3.042 3.042 7.544
angles: 90.00 90.00 90.00
Fractional positions:
La1 0.000 0.000 0.000
Mn1 0.500 0.500 0.315
Cr1 0.000 0.000 0.500
Cr2 0.500 0.500 0.676

Properties
Calculated total energy = -8.00 eV per atom